Entry 1:
Here is a relaxed MgPaPb2 crystal from Alexandria via LeMat-Bulk. Energies are from PBE. Values from VASP.

Summary:
space-group type	P4/mmm, No. 123
final energy	-4.498	eV per atom
formation energy from the elements	12.5	kJ/mol of atoms

Geometry as Quantum ESPRESSO input:
```
&SYSTEM
  ibrav = 0, nat = 4, ntyp = 3
/
ATOMIC_SPECIES
Pb 207.20 Pb.upf
Mg 24.30 Mg.upf
Pa 231.04 Pa.upf
ATOMIC_POSITIONS angstrom
Pb 0.000 0.000 5.677
Pb 0.000 0.000 1.686
Mg 1.898 1.898 0.000
Pa 1.898 1.898 3.681
CELL_PARAMETERS angstrom
3.797 0.000 0.000
0.000 3.797 0.000
0.000 0.000 7.362
```


Entry 2:
Here is a relaxed AlSi2O6 crystal from Alexandria via LeMat-Bulk. Energies are from PBE. Values from VASP.

Summary:
space-group type	P-1, No. 2
raw formation energy	-2637	meV/atom
final energy	-7.564	eV per atom

Geometry as Quantum ESPRESSO input:
```
&SYSTEM
  ibrav = 0, nat = 18, ntyp = 3
/
ATOMIC_SPECIES
Al 26.98 Al.upf
Si 28.09 Si.upf
O 16.00 O.upf
ATOMIC_POSITIONS angstrom
Al -1.948 -2.859 -9.775
Al 2.796 -1.443 -0.008
Si 0.073 0.169 -7.026
Si 0.774 -4.472 -2.757
Si 2.624 -1.414 -7.030
Si -1.777 -2.888 -2.753
O -2.298 -4.312 -8.672
O 3.146 0.010 -1.111
O 2.415 -1.581 -8.662
O -1.568 -2.721 -1.121
O -0.263 -2.389 -9.114
O 1.110 -1.913 -0.669
O 1.274 -0.744 -6.405
O -0.427 -3.558 -3.378
O -2.466 -2.913 -6.409
O 3.314 -1.389 -3.374
O -1.373 -0.484 -6.676
O 2.220 -3.818 -3.107
CELL_PARAMETERS angstrom
5.283 0.000 -0.004
-2.625 -4.585 -0.016
-1.811 0.284 -9.762
```


Entry 3:
Here is a relaxed KAs crystal from Alexandria via LeMat-Bulk. Energies are from PBE. Values from VASP.

Summary:
space-group type	P4/mmm, No. 123
final energy	-2.986	eV per atom
formation energy from the elements	-10.9	kJ/mol of atoms

Geometry as Quantum ESPRESSO input:
```
&SYSTEM
  ibrav = 0, nat = 4, ntyp = 2
/
ATOMIC_SPECIES
As 74.92 As.upf
K 39.10 K.upf
ATOMIC_POSITIONS angstrom
As 0.000 0.000 4.729
As 2.237 2.239 4.730
K 2.237 0.000 2.148
K 0.000 2.239 2.152
CELL_PARAMETERS angstrom
4.474 0.000 0.000
0.000 4.478 0.000
0.000 0.000 5.159
```


Entry 4:
Here is a relaxed CeGa5PdPt2 crystal from Alexandria via LeMat-Bulk. Energies are from PBE. Values from VASP.

Summary:
space-group type	P4/mmm, No. 123
final energy	-4.724	eV per atom
formation energy from the elements	-44.7	kJ/mol of atoms

Geometry as Quantum ESPRESSO input:
```
&SYSTEM
  ibrav = 0, nat = 9, ntyp = 4
/
ATOMIC_SPECIES
Ce 140.12 Ce.upf
Ga 69.72 Ga.upf
Pd 106.42 Pd.upf
Pt 195.08 Pt.upf
ATOMIC_POSITIONS angstrom
Ce 0.000 0.000 5.038
Ga 0.000 2.173 1.466
Ga 2.173 0.000 1.466
Ga 0.000 2.173 8.609
Ga 2.173 0.000 8.609
Ga 2.173 2.173 5.038
Pd 0.000 0.000 0.000
Pt 2.173 2.173 2.693
Pt 2.173 2.173 7.382
CELL_PARAMETERS angstrom
4.346 0.000 0.000
0.000 4.346 0.000
0.000 0.000 10.075
```


Entry 5:
Here is a relaxed LaPrHo4Tm2 crystal from Alexandria via LeMat-Bulk. Energies are from PBE. Values from VASP.

Summary:
space-group type	C2/m, No. 12
final energy	-4.598	eV per atom
formation energy from the elements	2.1	kJ/mol of atoms

Geometry as Quantum ESPRESSO input:
```
&SYSTEM
  ibrav = 0, nat = 16, ntyp = 4
/
ATOMIC_SPECIES
La 138.91 La.upf
Pr 140.91 Pr.upf
Ho 164.93 Ho.upf
Tm 168.93 Tm.upf
ATOMIC_POSITIONS angstrom
La -3.418 -0.778 0.664
La -0.278 -5.813 10.895
Pr -6.696 1.349 -4.117
Pr -1.898 2.050 2.213
Ho -0.984 -5.759 7.366
Ho -4.114 -0.722 -2.867
Ho -2.721 -0.836 4.198
Ho -5.850 4.201 -6.035
Ho -2.500 -8.573 5.821
Ho -4.229 -3.676 2.661
Ho -2.605 2.119 -1.331
Ho -4.334 7.016 -4.490
Tm -1.520 -2.828 -1.549
Tm -3.556 -3.686 6.114
Tm -5.075 -6.514 4.565
Tm -5.177 4.178 -2.569
CELL_PARAMETERS angstrom
-3.039 -5.656 -3.097
-0.277 -5.814 10.897
-3.519 9.913 -6.469
```


Entry 6:
Here is a relaxed CaLa6Sm4 crystal from Alexandria via LeMat-Bulk. Energies are from PBE. Values from VASP.

Summary:
space-group type	I-42m, No. 121
final energy	-4.314	eV per atom
formation energy from the elements	26.2	kJ/mol of atoms

Geometry as Quantum ESPRESSO input:
```
&SYSTEM
  ibrav = 0, nat = 11, ntyp = 3
/
ATOMIC_SPECIES
Ca 40.08 Ca.upf
La 138.91 La.upf
Sm 150.36 Sm.upf
ATOMIC_POSITIONS angstrom
Ca 0.000 0.000 0.000
La -4.959 7.693 5.742
La -3.904 6.057 8.051
La -1.446 5.030 4.225
La 1.178 2.597 -1.832
La 3.618 0.447 -1.336
La 2.852 0.000 1.832
Sm -5.204 8.073 10.359
Sm 0.114 3.013 2.084
Sm -6.411 9.946 7.717
Sm 4.811 -1.805 -3.477
CELL_PARAMETERS angstrom
7.603 -2.946 -5.561
-5.248 8.141 1.896
-1.899 2.946 9.226
```


Entry 7:
Here is a relaxed Pr3RuPb crystal from Alexandria via LeMat-Bulk. Energies are from PBE. Values from VASP.

Summary:
space-group type	C2/m, No. 12
final energy	-5.792	eV per atom
formation energy from the elements	-31.6	kJ/mol of atoms

Geometry as Quantum ESPRESSO input:
```
&SYSTEM
  ibrav = 0, nat = 10, ntyp = 3
/
ATOMIC_SPECIES
Pr 140.91 Pr.upf
Ru 101.07 Ru.upf
Pb 207.20 Pb.upf
ATOMIC_POSITIONS angstrom
Pr 3.273 5.366 6.740
Pr 3.273 2.080 4.063
Pr 3.273 1.878 8.722
Pr 3.273 4.929 0.847
Pr 5.629 4.785 3.774
Pr 0.918 2.225 1.136
Ru 3.274 0.636 0.883
Ru 0.918 0.343 3.273
Pb 5.629 2.658 6.444
Pb 5.629 4.586 9.018
CELL_PARAMETERS angstrom
4.712 0.000 0.000
2.355 6.030 0.753
-0.001 0.234 10.553
```


Entry 8:
Here is a relaxed Tb3Dy12Zr crystal from Alexandria via LeMat-Bulk. Energies are from PBE. Values from VASP.

Summary:
space-group type	P4/mmm, No. 123
final energy	-4.819	eV per atom
formation energy from the elements	3.4	kJ/mol of atoms

Geometry as Quantum ESPRESSO input:
```
&SYSTEM
  ibrav = 0, nat = 16, ntyp = 3
/
ATOMIC_SPECIES
Tb 158.93 Tb.upf
Dy 162.50 Dy.upf
Zr 91.22 Zr.upf
ATOMIC_POSITIONS angstrom
Tb 0.000 0.000 4.921
Tb 0.000 0.000 9.933
Tb 0.000 0.000 14.946
Dy 2.492 2.492 0.000
Dy 2.492 2.492 4.903
Dy 2.492 2.492 9.933
Dy 2.492 2.492 14.963
Dy 2.492 0.000 2.340
Dy 2.492 0.000 7.410
Dy 2.492 0.000 12.457
Dy 2.492 0.000 17.526
Dy 0.000 2.492 2.340
Dy 0.000 2.492 7.410
Dy 0.000 2.492 12.457
Dy 0.000 2.492 17.526
Zr 0.000 0.000 0.000
CELL_PARAMETERS angstrom
4.984 0.000 0.000
0.000 4.984 0.000
0.000 0.000 19.867
```